No. 1
# BaAgC2Se

A PBEsol-optimized structure of BaAgC2Se (SCAN, Alexandria).

Lattice parameters (Å, degrees): 4.2318 4.2318 5.9740 90.00 90.00 90.00
Fractional coordinates of all 5 atoms:
Ba1 0.0000 0.0000 0.5000
Se1 0.0000 0.0000 0.0000
C1 0.0000 0.5000 0.0000
C2 0.5000 0.0000 0.0000
Ag1 0.5000 0.5000 0.5000

Computed properties:
Total magnetization (μB per formula unit): 0.00
ΔE_f (raw) (meV/atom): 1995

No. 2
# BaSi2Au

A PBEsol-optimized structure of BaSi2Au (SCAN, Alexandria).

Lattice parameters (Å, degrees): 4.1874 4.1932 6.4614 108.90 90.00 119.95
Fractional coordinates of all 4 atoms:
Ba1 0.5000 0.0000 0.0000
Si1 0.2884 0.5768 0.3653
Si2 0.7116 0.4232 0.6347
Au1 0.0000 0.0000 0.5000

Computed properties:
Total magnetization (μB per formula unit): 0.00
ΔE_f (raw) (meV/atom): -452

No. 3
# ZnNi3

A PBEsol-optimized structure of ZnNi3 (SCAN, Alexandria).

Lattice parameters (Å, degrees): 2.4513 4.0769 4.3917 90.00 94.92 90.00
Last column: magnetic moment on the atom in μB.
Fractional coordinates of all 4 atoms:
Ni1 0.5000 0.5000 0.0000  0.46
Ni2 0.7415 0.0000 0.7562  0.58
Ni3 0.2585 0.0000 0.2438  0.58
Zn1 0.0000 0.5000 0.5000  -0.03

Computed properties:
Total magnetization (μB per formula unit): 1.44
Energy of formation from the pure elements (eV per atom): -0.01

No. 4
# K7Bi9O24

A PBEsol-optimized structure of K7Bi9O24 (SCAN, Alexandria).

Lattice parameters (Å, degrees): 8.3568 9.4833 9.4309 113.79 90.00 116.14
Fractional coordinates of all 40 atoms:
Bi1 0.5647 0.6243 0.2522
Bi2 0.0000 0.0000 0.5000
Bi3 0.1850 0.8754 0.7534
Bi4 0.8150 0.1246 0.2466
Bi5 0.0596 0.6243 0.2522
Bi6 0.3095 0.1246 0.2466
Bi7 0.4353 0.3757 0.7478
Bi8 0.9404 0.3757 0.7478
Bi9 0.6905 0.8754 0.7534
O1 0.8523 0.1158 0.7311
O2 0.9531 0.3839 0.2690
O3 0.5692 0.6161 0.7310
O4 0.6970 0.0000 0.0000
O5 0.9213 0.2266 0.4963
O6 0.0787 0.7734 0.5037
O7 0.0000 0.5000 0.0000
O8 0.7366 0.8842 0.2689
O9 0.3321 0.6642 0.2725
O10 0.6947 0.7734 0.5037
O11 0.5681 0.1362 0.2950
O12 0.0514 0.1028 0.1920
O13 0.3030 0.0000 0.0000
O14 0.9486 0.8972 0.8080
O15 0.4308 0.3839 0.2690
O16 0.2053 0.4107 0.7738
O17 0.0469 0.6161 0.7310
O18 0.5000 0.5000 0.0000
O19 0.7947 0.5893 0.2262
O20 0.2634 0.1158 0.7311
O21 0.3053 0.2266 0.4963
O22 0.6679 0.3358 0.7275
O23 0.4319 0.8638 0.7050
O24 0.1477 0.8842 0.2689
K1 0.2497 0.4995 0.5036
K2 0.1311 0.2623 0.9997
K3 0.6282 0.2564 0.9989
K4 0.3718 0.7436 0.0011
K5 0.8689 0.7377 0.0003
K6 0.7503 0.5005 0.4964
K7 0.5000 0.0000 0.5000

Computed properties:
Total magnetization (μB per formula unit): 0.00
ΔE_f (raw) (meV/atom): -1139

No. 5
# Be2InHg

A PBEsol-optimized structure of Be2InHg (SCAN, Alexandria).

Lattice parameters (Å, degrees): 4.1306 4.1306 4.9127 92.40 92.40 61.45
Fractional coordinates of all 4 atoms:
Be1 0.1659 0.1659 0.5077
Be2 0.8341 0.8341 0.4923
In1 0.0000 0.0000 0.0000
Hg1 0.5000 0.5000 0.5000

Computed properties:
ΔE to the lowest computed polymorph (meV/atom): 0.0
Total magnetization (μB per formula unit): 0.00
Energy of formation from the pure elements (eV per atom): 0.29

No. 6
# Mg2CoIrO6

A PBEsol-optimized structure of Mg2CoIrO6 (SCAN, Alexandria).

Lattice parameters (Å, degrees): 4.9646 5.1884 7.3033 90.00 89.55 90.00
Last column: magnetic moment on the atom in μB.
Fractional coordinates of all 20 atoms:
O1 0.8129 0.1802 0.4304  0.16
O2 0.1740 0.8072 0.9324  0.15
O3 0.1326 0.5671 0.2443  0.07
O4 0.3129 0.3198 0.9304  0.16
O5 0.8674 0.4329 0.7557  0.07
O6 0.6326 0.9329 0.7443  0.07
O7 0.6871 0.6802 0.0696  0.16
O8 0.1871 0.8198 0.5696  0.16
O9 0.8260 0.1928 0.0676  0.15
O10 0.3674 0.0671 0.2557  0.07
O11 0.6740 0.6928 0.4324  0.15
O12 0.3260 0.3072 0.5676  0.15
Mg1 0.9864 0.9352 0.2470  0.00
Mg2 0.0136 0.0648 0.7530  0.00
Mg3 0.5136 0.4352 0.2530  0.00
Mg4 0.4864 0.5648 0.7470  0.00
Ir1 0.0000 0.5000 0.5000  0.99
Ir2 0.5000 0.0000 0.0000  0.99
Co1 0.5000 0.0000 0.5000  0.14
Co2 0.0000 0.5000 0.0000  0.14

Computed properties:
Total magnetization (μB per formula unit): 2.01
ΔE_f (raw) (meV/atom): -1800

What is the formula in the fifth record?
Be2InHg